1.
Material: NiRhS4
Method: DFT, GGA-PBE
State: optimized geometry

Values from the calculation:
* magnetic moment: 0.00 μB/cell
* formation energy without anion corrections: -1.64 eV per formula unit
* space-group type: P2/m, No. 10

Lattice parameters (Å, degrees): 4.7804 3.4868 5.9936 90.00 90.45 90.00
Fractional coordinates of all 6 atoms:
Ni 0.0000 0.0000 0.0000
Rh 0.0000 0.5000 0.5000
S 0.2354 0.5000 0.8463
S 0.2551 0.0000 0.3287
S 0.7449 0.0000 0.6713
S 0.7646 0.5000 0.1537


2.
Material: LiPr2Pb9
Method: DFT, GGA-PBE
State: optimized geometry

Values from the calculation:
* magnetic moment: 0.00 μB/cell
* E_form: -28.7 kJ/mol of atoms
* space-group type: P4/mmm, No. 123

Lattice parameters (Å, degrees): 4.8849 4.8849 14.8902 90.00 90.00 90.00
Fractional coordinates of all 12 atoms:
Li 0.0000 0.0000 0.0000
Pr 0.0000 0.0000 0.3351
Pr 0.0000 0.0000 0.6649
Pb 0.0000 0.5000 0.1577
Pb 0.0000 0.5000 0.5000
Pb 0.0000 0.5000 0.8423
Pb 0.5000 0.0000 0.1577
Pb 0.5000 0.0000 0.5000
Pb 0.5000 0.0000 0.8423
Pb 0.5000 0.5000 0.0000
Pb 0.5000 0.5000 0.3265
Pb 0.5000 0.5000 0.6735